1.
The following is a DFT calculation (PBE-GGA) of Y2InSe after structural relaxation.

abc: 5.254 5.254 5.254
angles: 60.00 60.00 60.00
Element x y z (fractional)
Y 0.250 0.250 0.250
Y 0.750 0.750 0.750
Se 0.000 0.000 0.000
In 0.500 0.500 0.500

Properties
formation energy from raw total energies: -0.71 eV per atom
SG: No. 225
polymorph energy (0 for the lowest one): 0.432 eV per atom

=====

2.
The following is a DFT calculation (PBE-GGA) of Ga2FeRhSe after structural relaxation.

abc: 4.575 4.483 4.575
angles: 90.00 90.00 90.00
Element x y z (fractional)
Rh 0.000 0.500 0.000
Ga 0.000 0.000 0.500
Ga 0.500 0.000 0.000
Se 0.500 0.500 0.500
Fe 0.000 0.000 0.000

Properties
formation energy from raw total energies: 0.40 eV per atom
SG: No. 123

=====

3.
The following is a DFT calculation (PBE-GGA) of TmTh2Ge after structural relaxation.

abc: 3.913 3.913 9.644
angles: 78.30 78.30 60.00
Element x y z (fractional)
Ge 0.000 0.000 0.000
Tm 0.500 0.500 0.500
Th 0.266 0.266 0.202
Th 0.734 0.734 0.798

Properties
E_form: -0.117 eV per atom
SG: No. 166

=====

4.
The following is a DFT calculation (PBE-GGA) of LiTi2ZnPb after structural relaxation.

abc: 4.812 5.168 4.812
angles: 90.00 90.00 90.00
Element x y z (fractional)
Pb 0.000 0.500 0.000
Zn 0.000 0.000 0.000
Li 0.500 0.500 0.500
Ti 0.000 0.000 0.500
Ti 0.500 0.000 0.000

Properties
E_form: 0.756 eV per atom
SG: No. 123

=====

5.
The following is a DFT calculation (PBE-GGA) of LaInP2S after structural relaxation.

abc: 4.947 4.947 5.099
angles: 90.00 90.00 90.00
Element x y z (fractional)
P 0.000 0.500 0.000
P 0.500 0.000 0.000
S 0.000 0.000 0.500
In 0.000 0.000 0.000
La 0.500 0.500 0.500

Properties
formation energy from raw total energies: -0.13 eV per atom
SG: No. 123
polymorph energy (0 for the lowest one): 0.000 eV per atom

=====

6.
The following is a DFT calculation (PBE-GGA) of LiHg2Cl after structural relaxation.

abc: 5.351 5.351 5.351
angles: 60.00 60.00 60.00
Element x y z (fractional)
Li 0.000 0.000 0.000
Hg 0.250 0.250 0.250
Hg 0.750 0.750 0.750
Cl 0.500 0.500 0.500

Properties
formation energy from raw total energies: -0.37 eV per atom
SG: No. 225
polymorph energy (0 for the lowest one): 0.465 eV per atom

=====

7.
The following is a DFT calculation (PBE-GGA) of TiAlRu after structural relaxation.

abc: 4.443 5.091 5.091
angles: 93.01 64.13 64.13
Each line ends with the local moment (μB).
Element x y z (fractional)
Ti 0.000 0.835 0.165  0.09
Ti 0.000 0.165 0.835  0.09
Al 0.500 0.667 0.333  0.00
Al 0.500 0.333 0.667  0.00
Ru 0.752 0.748 0.748  -0.03
Ru 0.248 0.252 0.252  -0.03

Properties
E_form: -0.269 eV per atom
SG: No. 71

=====

8.
The following is a DFT calculation (PBE-GGA) of SrLiNdSi after structural relaxation.

abc: 5.299 5.299 5.299
angles: 60.00 60.00 60.00
Element x y z (fractional)
Sr 0.500 0.500 0.500
Si 0.750 0.750 0.750
Nd 0.000 0.000 0.000
Li 0.250 0.250 0.250

Properties
formation energy from raw total energies: -0.21 eV per atom
SG: No. 216

=====

9.
The following is a DFT calculation (PBE-GGA) of La8Co3CuCl4 after structural relaxation.

abc: 8.125 8.928 8.224
angles: 117.17 119.60 90.00
Element x y z (fractional)
La 0.245 0.703 0.966
La 0.241 0.701 0.482
La 0.263 0.298 0.526
La 0.721 0.703 0.966
La 0.279 0.297 0.034
La 0.737 0.702 0.474
La 0.759 0.299 0.518
La 0.755 0.297 0.034
Co 0.500 0.500 0.000
Co 0.500 0.500 0.500
Co 0.000 0.500 0.500
Cu 0.000 0.500 0.000
Cl 0.500 0.000 0.000
Cl 0.500 0.000 0.500
Cl 0.000 0.000 0.000
Cl 0.000 0.000 0.500

Properties
formation energy from raw total energies: -0.90 eV per atom
SG: No. 12

=====

10.
The following is a DFT calculation (PBE-GGA) of NaRhSe2 after structural relaxation.

abc: 4.654 4.654 4.654
angles: 60.00 60.00 60.00
Element x y z (fractional)
Na 0.000 0.000 0.000
Rh 0.500 0.500 0.500
Se 0.250 0.250 0.250
Se 0.750 0.750 0.750

Properties
formation energy from raw total energies: -0.20 eV per atom
SG: No. 225

=====

11.
The following is a DFT calculation (PBE-GGA) of NdDy2Sc4 after structural relaxation.

abc: 8.093 8.093 6.528
angles: 128.28 128.30 90.02
Each line ends with the local moment (μB).
Element x y z (fractional)
Nd 0.000 0.000 0.000  0.12
Dy 0.750 0.250 0.500  0.25
Dy 0.250 0.750 0.500  0.25
Sc 0.693 0.307 0.000  0.28
Sc 0.307 0.693 0.000  0.28
Sc 0.308 0.308 0.000  0.28
Sc 0.692 0.692 0.000  0.28

Properties
E_form: 0.234 eV per atom
SG: No. 139
polymorph energy (0 for the lowest one): 0.173 eV per atom

=====

12.
The following is a DFT calculation (PBE-GGA) of PS3Cl after structural relaxation.

abc: 4.537 4.537 4.537
angles: 90.00 90.00 90.00
Element x y z (fractional)
P 0.000 0.000 0.000
S 0.000 0.500 0.000
S 0.000 0.000 0.500
S 0.500 0.000 0.000
Cl 0.500 0.500 0.500

Properties
formation energy from raw total energies: 0.73 eV per atom
SG: No. 221
polymorph energy (0 for the lowest one): 0.983 eV per atom

=====

13.
The following is a DFT calculation (PBE-GGA) of PrRh2Pb2 after structural relaxation.

abc: 4.985 4.985 5.938
angles: 65.49 65.49 60.05
Element x y z (fractional)
Pr 0.000 0.500 0.000
Rh 0.584 0.084 0.246
Rh 0.416 0.916 0.754
Pb 0.226 0.726 0.324
Pb 0.774 0.274 0.676

Properties
E_form: -0.268 eV per atom
SG: No. 12

=====

14.
The following is a DFT calculation (PBE-GGA) of Sr2AsHAu after structural relaxation.

abc: 5.339 5.339 3.986
angles: 90.00 90.00 90.00
Element x y z (fractional)
Sr 0.000 0.500 0.000
Sr 0.500 0.000 0.000
As 0.500 0.500 0.500
Au 0.000 0.000 0.500
H 0.000 0.000 0.000

Properties
final energy: -3.657 eV/atom
SG: No. 123

=====

15.
The following is a DFT calculation (PBE-GGA) of MnGeAu2 after structural relaxation.

abc: 3.207 3.207 6.850
angles: 90.00 90.00 90.00
Each line ends with the local moment (μB).
Element x y z (fractional)
Ge 0.500 0.500 0.500  0.00
Mn 0.500 0.500 0.000  3.89
Au 0.000 0.000 0.765  0.03
Au 0.000 0.000 0.235  0.03

Properties
E_form: 0.030 eV per atom
SG: No. 123

=====

16.
The following is a DFT calculation (PBE-GGA) of PrTm2Se3 after structural relaxation.

abc: 4.063 5.808 7.157
angles: 113.94 106.49 90.00
Element x y z (fractional)
Pr 0.500 0.500 0.500
Tm 0.842 0.842 0.184
Tm 0.158 0.158 0.816
Se 0.819 0.319 0.138
Se 0.181 0.681 0.862
Se 0.500 0.000 0.500

Properties
formation energy from raw total energies: -1.71 eV per atom
SG: No. 71

=====

17.
The following is a DFT calculation (PBE-GGA) of Pm2SmNpAs4 after structural relaxation.

abc: 4.192 7.268 7.269
angles: 109.31 90.00 90.00
Each line ends with the local moment (μB).
Element x y z (fractional)
Pm 0.500 0.000 0.500  0.02
Pm 0.000 0.500 0.500  0.02
Sm 0.500 0.500 0.000  0.02
Np 0.000 0.000 0.000  3.66
As 0.500 0.243 0.242  -0.06
As 0.500 0.757 0.758  -0.06
As 0.000 0.246 0.756  -0.04
As 0.000 0.754 0.244  -0.04

Properties
E_form: -1.307 eV per atom
SG: No. 10